Entry 1:
First-principles (PBE) data for TaCrBr after structural relaxation, as listed in Alexandria.

The calculation puts the uncorrected energy at -20.94 eV/cell. The distance to the lowest polymorph of the same formula comes out at 35.21 kJ per mole of atoms. Its formation energy (no corrections) is 71 kJ/mol of atoms.

It has space group P3m1 (No. 156), with a = 4.2983 Å, b = 4.2983 Å, c = 3.0039 Å, α = 90.00°, β = 90.00° and γ = 120.00°. The distinct sites, in fractional coordinates, are Ta at (0.0000, 0.0000, 0.0000), Cr at (0.3333, 0.6667, 0.5942) and Br at (0.6667, 0.3333, 0.5503).

---

Entry 2:
First-principles (PBE) data for TaCrBr after structural relaxation, as listed in Alexandria.

The calculation puts the uncorrected energy at -80.22 eV/cell. The distance to the lowest polymorph of the same formula comes out at 63.70 kJ per mole of atoms. Its formation energy (no corrections) is 99 kJ/mol of atoms.

It has space group F-43m (No. 216), with a = 5.9299 Å, b = 5.9299 Å, c = 5.9299 Å, α = 90.00°, β = 90.00° and γ = 90.00°. The distinct sites, in fractional coordinates, are Ta at (0.0000, 0.0000, 0.0000), Cr at (0.2500, 0.2500, 0.7500) and Br at (0.0000, 0.0000, 0.5000).

---

Entry 3:
First-principles (PBE) data for Ta2CrBr after structural relaxation, as listed in Alexandria.

The calculation puts the uncorrected energy at -33.79 eV/cell. The distance to the lowest polymorph of the same formula comes out at 0.00 kJ per mole of atoms. Its formation energy (no corrections) is 29 kJ/mol of atoms.

It has space group P4/mmm (No. 123), with a = 3.0860 Å, b = 3.0860 Å, c = 7.4801 Å, α = 90.00°, β = 90.00° and γ = 90.00°. The distinct sites, in fractional coordinates, are Ta at (0.0000, 0.0000, 0.1977), Cr at (0.5000, 0.5000, 0.0000) and Br at (0.5000, 0.5000, 0.5000).